# Ca3H

A relaxed structure of Ca3H (PBE-GGA, Alexandria).

Results
**Final energy**: -9.48 eV/f.u.
**Energy above the lowest structure with this stoichiometry**: 127 meV/atom

Lattice parameters (Å, degrees): 6.4242 6.4242 6.4242 148.92 68.14 121.06
Element x y z (fractional)
1 Ca 0.0000 0.0000 0.0000
2 Ca 0.3108 0.4797 0.8311
3 Ca 0.6486 0.4797 0.1689
4 H 0.3184 0.8184 0.5000